1.
VASP calculation (PBE) on a relaxed structure of HfZn2CdB.

The structure in POSCAR format:
```
HfZn2CdB
1.0
5.3215 0.0000 0.0000
0.0000 5.3215 0.0000
0.0000 0.0000 4.3499
Hf Zn Cd B
1 2 1 1
Direct
0.0000 0.0000 0.0000 Hf
0.0000 0.5000 0.0000 Zn
0.5000 0.0000 0.0000 Zn
0.5000 0.5000 0.5000 Cd
0.0000 0.0000 0.5000 B
```

Summary:
VASP energy: -14.6 eV for the cell shown
ρ: 5.831 g cm⁻³
Symmetry: No. 123
Formation energy: 106.5 kJ per mole of atoms

2.
VASP calculation (PBE) on a relaxed structure of TcPbAu2I.

The structure in POSCAR format:
```
TcPbAu2I
1.0
5.3524 0.0000 0.0000
0.0000 5.3524 0.0000
0.0000 0.0000 5.0006
Tc Pb Au I
1 1 2 1
Direct
0.0000 0.0000 0.0000 Tc
0.5000 0.5000 0.0000 Pb
0.0000 0.5000 0.5000 Au
0.5000 0.0000 0.5000 Au
0.0000 0.0000 0.5000 I
```

Summary:
VASP energy: -16.1 eV for the cell shown
ρ: 9.575 g cm⁻³
Symmetry: No. 123

3.
VASP calculation (PBE) on a relaxed structure of SrMgSi2Ir.

The structure in POSCAR format:
```
SrMgSi2Ir
1.0
-2.1091 2.1091 5.4116
2.1091 -2.1091 5.4116
2.1091 2.1091 -5.4116
Sr Mg Si Ir
1 1 2 1
Direct
0.0000 0.0000 0.0000 Sr
0.7500 0.2500 0.5000 Mg
0.3837 0.3837 0.0000 Si
0.6163 0.6163 0.0000 Si
0.2500 0.7500 0.5000 Ir
```

Summary:
VASP energy: -25.4 eV for the cell shown
ρ: 6.214 g cm⁻³
Symmetry: No. 119